Computed, not measured: a relaxed K2PbBr crystal at the GGA-PBE level of DFT.

For the mass density, the calculation gives 3.7 g cm⁻³. The value obtained for the raw formation energy is -0.471 eV/atom. As for the energy above the lowest structure with this stoichiometry: 0.3401 eV per atom.

The structure belongs to space group Fm-3m (No. 225); the cell edges are 8.669, 8.669 and 8.669 Å and the angles 90.00°, 90.00° and 90.00°. The distinct sites, in fractional coordinates, are K at (0.250, 0.250, 0.250), Pb at (0.000, 0.000, 0.000) and Br at (0.000, 0.000, 0.500).

---

Computed, not measured: a relaxed KPb2Br crystal at the GGA-PBE level of DFT.

For the mass density, the calculation gives 5.9 g cm⁻³. The value obtained for the raw formation energy is -0.564 eV/atom. As for the energy above the lowest structure with this stoichiometry: 0.0123 eV per atom.

The structure belongs to space group Pm (No. 6); the cell edges are 3.913, 4.933 and 8.030 Å and the angles 90.00°, 103.55° and 90.00°. The distinct sites, in fractional coordinates, are K at (0.000, 0.000, 0.000), Pb at (0.260, 0.000, 0.538), Pb at (0.699, 0.500, 0.412) and Br at (0.503, 0.500, 0.006).

---

Computed, not measured: a relaxed KPb2Br crystal at the GGA-PBE level of DFT.

For the mass density, the calculation gives 5.6 g cm⁻³. The value obtained for the raw formation energy is -0.501 eV/atom. As for the energy above the lowest structure with this stoichiometry: 0.0752 eV per atom.

The structure belongs to space group P4/mmm (No. 123); the cell edges are 4.483, 4.483 and 7.918 Å and the angles 90.00°, 90.00° and 90.00°. The distinct sites, in fractional coordinates, are K at (0.000, 0.000, 0.000), Pb at (0.000, 0.500, 0.500) and Br at (0.500, 0.500, 0.000).

---

Computed, not measured: a relaxed KPbBr2 crystal at the GGA-PBE level of DFT.

For the mass density, the calculation gives 4.8 g cm⁻³. The value obtained for the raw formation energy is -0.966 eV/atom. As for the energy above the lowest structure with this stoichiometry: 0.0788 eV per atom.

The structure belongs to space group Imm2 (No. 44); the cell edges are 3.791, 4.567 and 16.146 Å and the angles 90.00°, 90.00° and 90.00°. The distinct sites, in fractional coordinates, are K at (0.000, 0.000, 0.000), Pb at (0.000, 0.500, 0.730), Br at (0.000, 0.000, 0.595) and Br at (0.000, 0.500, 0.339).

---

Computed, not measured: a relaxed KPbBr2 crystal at the GGA-PBE level of DFT.

For the mass density, the calculation gives 4.7 g cm⁻³. The value obtained for the raw formation energy is -0.920 eV/atom. As for the energy above the lowest structure with this stoichiometry: 0.1243 eV per atom.

The structure belongs to space group Immm (No. 71); the cell edges are 4.620, 6.928 and 9.056 Å and the angles 90.00°, 90.00° and 90.00°. The distinct sites, in fractional coordinates, are K at (0.000, 0.000, 0.000), Pb at (0.000, 0.000, 0.500) and Br at (0.000, 0.500, 0.227).

---

Computed, not measured: a relaxed KPbBr2 crystal at the GGA-PBE level of DFT.

For the mass density, the calculation gives 5.1 g cm⁻³. The value obtained for the raw formation energy is -0.963 eV/atom. As for the energy above the lowest structure with this stoichiometry: 0.0812 eV per atom.

The structure belongs to space group Amm2 (No. 38); the cell edges are 5.460, 3.908 and 12.447 Å and the angles 90.00°, 90.00° and 90.00°. The distinct sites, in fractional coordinates, are K at (0.000, 0.000, 0.000), Pb at (0.500, 0.000, 0.239), Br at (0.000, 0.000, 0.732) and Br at (0.500, 0.000, 0.480).

---

Computed, not measured: a relaxed K4PbBr6 crystal at the GGA-PBE level of DFT.

For the mass density, the calculation gives 3.4 g cm⁻³. The value obtained for the raw formation energy is -1.514 eV/atom.

The structure belongs to space group R-3c (No. 167, hexagonal axes); the cell edges are 13.2504, 13.2504 and 16.1062 Å and the angles 90.00°, 90.00° and 120.00°. The distinct sites, in fractional coordinates, are K at (0.0000, 0.0000, 0.2500), K at (0.0000, 0.3795, 0.2500), Pb at (0.0000, 0.0000, 0.0000) and Br at (0.0346, 0.2004, 0.3904).

---

Computed, not measured: a relaxed KPb2Br crystal at the GGA-PBE level of DFT.

For the mass density, the calculation gives 6.3 g cm⁻³. The value obtained for the raw formation energy is -0.094 eV/atom. As for the energy above the lowest structure with this stoichiometry: 0.4819 eV per atom.

The structure belongs to space group R-3m (No. 166, hexagonal axes); the cell edges are 3.7735, 3.7735 and 34.4651 Å and the angles 90.00°, 90.00° and 120.00°. The distinct sites, in fractional coordinates, are K at (0.0000, 0.0000, 0.0000), Pb at (0.0000, 0.0000, 0.2375) and Br at (0.0000, 0.0000, 0.5000).

---

Computed, not measured: a relaxed K2PbBr crystal at the GGA-PBE level of DFT.

For the mass density, the calculation gives 3.9 g cm⁻³. The value obtained for the raw formation energy is -0.749 eV/atom. As for the energy above the lowest structure with this stoichiometry: 0.0627 eV per atom.

The structure belongs to space group Imm2 (No. 44); the cell edges are 3.833, 3.983 and 20.331 Å and the angles 90.00°, 90.00° and 90.00°. The distinct sites, in fractional coordinates, are K at (0.000, 0.000, 0.000), K at (0.000, 0.500, 0.212), Pb at (0.000, 0.500, 0.843) and Br at (0.000, 0.000, 0.585).

---

Computed, not measured: a relaxed KPb4Br8 crystal at the GGA-PBE level of DFT.

For the mass density, the calculation gives 4.4 g cm⁻³. The value obtained for the raw formation energy is -0.926 eV/atom. As for the energy above the lowest structure with this stoichiometry: 0.0041 eV per atom.

The structure belongs to space group F-43m (No. 216); the cell edges are 13.159, 13.159 and 13.159 Å and the angles 90.00°, 90.00° and 90.00°. The distinct sites, in fractional coordinates, are K at (0.000, 0.000, 0.000), Pb at (0.122, 0.122, 0.622), Br at (0.112, 0.112, 0.388) and Br at (0.140, 0.140, 0.860).

---

Computed, not measured: a relaxed K2PbBr crystal at the GGA-PBE level of DFT.

For the mass density, the calculation gives 4.2 g cm⁻³. The value obtained for the raw formation energy is -0.607 eV/atom. As for the energy above the lowest structure with this stoichiometry: 0.2048 eV per atom.

The structure belongs to space group Cmmm (No. 65); the cell edges are 7.456, 10.090 and 3.808 Å and the angles 90.00°, 90.00° and 90.00°. The distinct sites, in fractional coordinates, are K at (0.250, 0.250, 0.000), Pb at (0.000, 0.000, 0.500) and Br at (0.000, 0.500, 0.500).

---

Computed, not measured: a relaxed KPb2Br crystal at the GGA-PBE level of DFT.

For the mass density, the calculation gives 6.3 g cm⁻³. The value obtained for the raw formation energy is -0.307 eV/atom. As for the energy above the lowest structure with this stoichiometry: 0.2689 eV per atom.

The structure belongs to space group Imm2 (No. 44); the cell edges are 3.554, 6.661 and 11.928 Å and the angles 90.00°, 90.00° and 90.00°. The distinct sites, in fractional coordinates, are K at (0.000, 0.000, 0.000), Pb at (0.000, 0.000, 0.522), Pb at (0.000, 0.500, 0.791) and Br at (0.000, 0.500, 0.282).

---

Which of these has the lowest raw formation energy? K4PbBr6

---

Which value of mass density does entry 12 give? 6.3 g cm⁻³

---

Look up the raw formation energy of the twelfth one. -0.307 eV/atom

---

Look up the mass density of the eleventh one. 4.2 g cm⁻³